# 1
The following is a DFT calculation (PBE-GGA) of a geometry-optimized PmSmTmTh2 structure.

abc: 6.6952 6.6880 8.5074
angles: 113.15 90.00 90.00
With the nearest neighbours (Å) after each atom.
Positions (direct):
Sm  0.7500  0.7463  0.4927  4 Pm 3.65-3.70, 4 Tm 3.67-3.71
Sm  0.2500  0.2537  0.5073  4 Pm 3.65-3.70, 4 Tm 3.67-3.71
Tm  0.2500  0.6506  0.3013  1 Pm 3.08, 4 Th 3.33
Tm  0.7500  0.3494  0.6987  1 Pm 3.08, 4 Th 3.33
Th  0.0000  0.2520  0.0000  4 Th 3.32-3.37, 2 Tm 3.33, 2 Pm 3.36
Th  0.0000  0.7480  0.0000  4 Th 3.32-3.37, 2 Tm 3.33, 2 Pm 3.36
Th  0.5000  0.7480  0.0000  4 Th 3.32-3.37, 2 Tm 3.33, 2 Pm 3.36
Th  0.5000  0.2520  0.0000  4 Th 3.32-3.37, 2 Tm 3.33, 2 Pm 3.36
Pm  0.7500  0.1523  0.3046  1 Tm 3.08, 4 Th 3.36
Pm  0.2500  0.8477  0.6954  1 Tm 3.08, 4 Th 3.36

Computed properties:
N(E_F)	14.7	states/eV/cell
space-group type	No. 63
total energy	-53.688	eV/cell
M_tot	0.00	μB/cell
E_form	37.38	kJ/mol of atoms



# 2
The following is a DFT calculation (PBE-GGA) of a geometry-optimized PmSm2Tm4Th structure.

abc: 5.0773 5.0709 11.0933
angles: 62.81 90.00 90.00
With the nearest neighbours (Å) after each atom.
Positions (direct):
Tm  0.0000  0.7543  0.7460  2 Th 3.51, 4 Sm 3.51-3.57, 2 Pm 3.57, 4 Tm 3.59
Tm  0.5000  0.7453  0.2542  4 Sm 3.51-3.57, 2 Th 3.51, 2 Pm 3.56-3.57, 4 Tm 3.59
Tm  0.5000  0.2547  0.7458  4 Sm 3.51-3.57, 2 Th 3.51, 2 Pm 3.56-3.57, 4 Tm 3.59
Tm  0.0000  0.2457  0.2540  2 Th 3.51, 4 Sm 3.51-3.57, 2 Pm 3.57, 4 Tm 3.59
Sm  0.0000  0.0000  0.0000  8 Tm 3.56-3.57, 4 Pm 3.59
Sm  0.5000  0.0000  0.5000  8 Tm 3.51, 4 Th 3.59
Th  0.0000  0.5000  0.5000  8 Tm 3.51, 4 Sm 3.59
Pm  0.5000  0.5000  0.0000  8 Tm 3.56-3.57, 4 Sm 3.59

Computed properties:
N(E_F)	10.9	states/eV/cell
space-group type	No. 123
total energy	-39.273	eV/cell
M_tot	0.00	μB/cell
E_form	2.68	kJ/mol of atoms